No. 1
FeAg2W (GGA-PBE, relaxed); electronic total energy = -23.76 eV/cell; energy of formation from the pure elements = 839 meV per atom; energy above the most stable polymorph in this dataset = 493 meV per atom; calculated volume = 65.6 Å³/cell; symmetry = P4/mmm; DOS at the Fermi energy = 3.0 states/eV per cell
1.0
-1.178 1.707 -4.464
-4.569 0.948 1.568
0.772 2.485 0.747
Ag Fe W
2 1 1
direct
0.000 0.000 0.000 Ag
0.500 0.500 0.000 Ag
0.500 0.000 0.500 Fe
0.000 0.500 0.500 W


No. 2
FeAg2W (GGA-PBE, relaxed); electronic total energy = -24.27 eV/cell; energy of formation from the pure elements = 713 meV per atom; energy above the most stable polymorph in this dataset = 367 meV per atom; calculated volume = 62.6 Å³/cell; symmetry = I-4m2; DOS at the Fermi energy = 2.3 states/eV per cell
1.0
-3.668 -0.100 -2.917
0.651 -3.995 -2.366
-0.048 0.605 4.649
Fe Ag W
1 2 1
direct
0.500 0.500 0.000 Fe
0.000 0.000 0.000 Ag
0.250 0.750 0.500 Ag
0.750 0.250 0.500 W